1.
Below is a relaxed LiSmCuPd crystal, with properties calculated at the PBE level.

Cell: 6.762 6.762 6.762 Å, 90.00 90.00 90.00°
Space group F-43m (No. 216)
Inequivalent atoms, fractional coordinates:
Li 0.000 0.000 0.000 x4
Sm 0.000 0.000 0.500 x4
Cu 0.250 0.250 0.250 x4
Pd 0.250 0.250 0.750 x4

Computed properties:
Spin magnetization = 0.0 μB per cell
N(E_F) = 2.91 states/eV/f.u.
Calculated density = 7.03 Mg/m³
DFT formation energy = -0.324 eV per atom
E_tot = -4.305 eV per atom

***

2.
Below is a relaxed Tl2PbI4 crystal, with properties calculated at the PBE level.

Cell: 16.718 4.752 9.380 Å, 90.00 117.92 90.00°
Space group C2/m (No. 12)
Inequivalent atoms, fractional coordinates:
Tl 0.209 0.000 0.183 x4
Pb 0.000 0.500 0.500 x2
I 0.107 0.500 0.891 x4
I 0.137 0.000 0.507 x4

Computed properties:
Spin magnetization = 0.0 μB per cell
Raw formation energy = -0.637 eV per atom
N(E_F) = 0.00 states/eV/f.u.
Calculated density = 5.67 Mg/m³
Excess energy over the best structure of this formula in the dataset = 2.0 kJ per mole of atoms
E_tot = -2.729 eV per atom

***

3.
Below is a relaxed CuIr2Br crystal, with properties calculated at the PBE level.

Cell: 2.775 4.889 9.348 Å, 90.00 90.00 90.00°
Space group Cmmm (No. 65)
Inequivalent atoms, fractional coordinates:
Cu 0.000 0.000 0.000 x2
Ir 0.000 0.500 0.226 x4
Br 0.000 0.000 0.500 x2

Computed properties:
Spin magnetization = 0.0 μB per cell
Raw formation energy = 0.783 eV per atom
N(E_F) = 6.64 states/eV/f.u.
Calculated density = 13.82 Mg/m³
Excess energy over the best structure of this formula in the dataset = 32.2 kJ per mole of atoms
E_tot = -5.089 eV per atom

***

4.
Below is a relaxed Hf2Tl2Te6As crystal, with properties calculated at the PBE level.

Cell: 7.206 12.555 8.581 Å, 90.00 106.90 90.00°
Space group C2/m (No. 12)
Inequivalent atoms, fractional coordinates:
Hf 0.000 0.174 0.000 x4
Tl 0.000 0.338 0.500 x4
Te 0.231 0.000 0.193 x4
Te 0.238 0.337 0.203 x8
As 0.000 0.500 0.000 x2

Computed properties:
Spin magnetization = 1.4 μB per cell
Raw formation energy = -0.466 eV per atom
N(E_F) = 6.41 states/eV/f.u.
Calculated density = 7.18 Mg/m³
E_tot = -4.843 eV per atom